[1]
Computed, not measured: a relaxed Th2AlSe crystal at the GGA-PBE level of DFT.

Polymorph energy (0 for the lowest one)   0.076 eV per atom
Fermi-level density of states   4.1 states/eV per cell
Volume   112 Å³/f.u.
Formation energy from raw total energies   -0.725 eV per atom
ρ   8.48 g/cm³
SG   R-3m
E_tot   -6.24 eV/atom

```
Th2AlSe
1.0
-3.7761 0.3393 -1.3080
-2.1472 -3.2907 -0.8035
-4.6068 -1.1137 6.8620
Al Th Se
1 2 1
Cartesian
-5.2650 -2.0326 2.3752
-2.5981 -1.0146 1.0888
-7.9319 -3.0505 3.6617
0.0000 0.0000 0.0000
```

[2]
Computed, not measured: a relaxed Li2NdEr2In2 crystal at the GGA-PBE level of DFT.

Fermi-level density of states   5.8 states/eV per cell
Volume   183 Å³/f.u.
ρ   6.56 g/cm³
SG   R-3m
E_tot   -3.54 eV/atom

```
Li2NdEr2In2
1.0
4.8954 0.0000 0.0000
2.4477 4.2396 0.0000
2.4477 1.4132 8.8078
In Er Li Nd
2 2 2 1
Cartesian
2.4477 1.4132 1.9772
7.3431 4.2396 6.8306
7.3431 4.2396 3.4128
2.4477 1.4132 5.3950
4.8954 2.8264 6.9139
4.8954 2.8264 1.8939
0.0000 0.0000 0.0000
```

[3]
Computed, not measured: a relaxed Pr2Nd3ErSe6 crystal at the GGA-PBE level of DFT.

Fermi-level density of states   5.9 states/eV per cell
Volume   317 Å³/f.u.
Formation energy from raw total energies   -1.815 eV per atom
ρ   7.10 g/cm³
SG   C2/m
E_tot   -5.93 eV/atom

```
Pr2Nd3ErSe6
1.0
4.1884 0.0000 0.0000
0.0000 8.4741 0.3319
-2.0942 -2.4116 8.8432
Pr Se Er Nd
2 6 1 3
Cartesian
0.0000 2.0378 3.0974
2.0942 4.0247 6.0777
0.0000 1.8991 6.0674
0.0000 6.4636 0.2904
2.0942 -0.4012 8.8848
0.0000 6.1706 6.3261
2.0942 -0.1082 2.8490
2.0942 4.1633 3.1077
2.0942 0.0000 0.0000
0.0000 6.2429 3.3157
2.0942 -0.1804 5.8595
2.0942 4.2370 0.1659
```

[4]
Computed, not measured: a relaxed CaFeP4 crystal at the GGA-PBE level of DFT.

Fermi-level density of states   4.6 states/eV per cell
Volume   99 Å³/f.u.
ρ   3.68 g/cm³
SG   F-43m
E_tot   -5.06 eV/atom

```
CaFeP4
1.0
-3.5938 -3.5227 1.2851
-2.1350 0.0763 4.7341
-4.9547 1.4415 0.5914
P Ca Fe
4 1 1
Cartesian
-6.5344 0.0120 2.7511
-5.8237 -2.5804 3.1134
-3.9469 -0.7407 2.4423
-5.0619 -0.7009 4.9146
-8.0126 -1.5037 4.9580
0.0000 0.0000 0.0000
```